No. 1
First-principles (PBE) data for Ta2TcIr after structural relaxation, as listed in the Alexandria database.

Cell: 5.179 5.179 2.796 Å, 100.36 100.36 112.99°
Element x y z (fractional)
1 Ta 0.000 0.500 0.000
2 Ta 0.500 0.000 0.000
3 Tc 0.000 0.000 0.500
4 Ir 0.500 0.500 0.500

Results
For the density of states at the Fermi level, the calculation gives 4.01 states/eV/f.u. The value obtained for the final energy is -10.962 eV/atom. The value obtained for the formation energy is -228.6 meV/atom. As for the space group: No. 12.

No. 2
First-principles (PBE) data for ErSc2ZnHg4 after structural relaxation, as listed in the Alexandria database.

Cell: 8.839 8.839 8.839 Å, 32.42 32.42 32.42°
Element x y z (fractional)
1 Er 0.000 0.000 0.000
2 Sc 0.243 0.243 0.243
3 Sc 0.757 0.757 0.757
4 Zn 0.500 0.500 0.500
5 Hg 0.125 0.125 0.125
6 Hg 0.377 0.377 0.377
7 Hg 0.623 0.623 0.623
8 Hg 0.875 0.875 0.875

Results
For the density of states at the Fermi level, the calculation gives 5.80 states/eV/f.u. The value obtained for the final energy is -2.781 eV/atom. The value obtained for the formation energy is -318.1 meV/atom. As for the space group: No. 166.

No. 3
First-principles (PBE) data for Tl2TeH2 after structural relaxation, as listed in the Alexandria database.

Cell: 4.965 4.965 6.823 Å, 110.12 110.12 58.80°
Element x y z (fractional)
1 Tl 0.246 0.246 0.237
2 Tl 0.754 0.754 0.763
3 Te 0.000 0.000 0.500
4 H 0.486 0.486 0.046
5 H 0.514 0.514 0.954

Results
For the energy above the most stable polymorph in this dataset, the calculation gives 0.0 meV/atom. The value obtained for the final energy is -3.066 eV/atom. As for the space group: No. 12.

No. 4
First-principles (PBE) data for NaZrSeS after structural relaxation, as listed in the Alexandria database.

Cell: 7.496 7.496 7.496 Å, 28.89 28.89 28.89°
Element x y z (fractional)
1 Na 0.000 0.000 0.000
2 Zr 0.176 0.176 0.176
3 Se 0.765 0.765 0.765
4 S 0.580 0.580 0.580

Results
As for the formation energy from raw total energies: -1.383 eV per atom. For the density of states at the Fermi level, the calculation gives 2.13 states/eV/f.u. The value obtained for the final energy is -5.753 eV/atom. As for the space group: No. 160.

No. 5
First-principles (PBE) data for Pu2Cu2Au after structural relaxation, as listed in the Alexandria database.

Cell: 5.531 5.531 5.531 Å, 132.68 122.11 77.91°
Element x y z (fractional)
1 Pu 0.198 0.198 0.000
2 Pu 0.802 0.802 0.000
3 Cu 0.229 0.500 0.729
4 Cu 0.771 0.500 0.271
5 Au 0.500 0.000 0.500

Results
For the energy above the most stable polymorph in this dataset, the calculation gives 0.0 meV/atom. For the density of states at the Fermi level, the calculation gives 18.82 states/eV/f.u. The value obtained for the final energy is -8.159 eV/atom. The value obtained for the formation energy is -131.9 meV/atom. As for the space group: No. 71.

No. 6
First-principles (PBE) data for Ca2PbI after structural relaxation, as listed in the Alexandria database.

Cell: 8.638 8.638 8.638 Å, 29.82 29.82 29.82°
Element x y z (fractional)
1 Ca 0.242 0.242 0.242
2 Ca 0.758 0.758 0.758
3 Pb 0.500 0.500 0.500
4 I 0.000 0.000 0.000

Results
For the energy above the most stable polymorph in this dataset, the calculation gives 0.0 meV/atom. As for the formation energy from raw total energies: -0.820 eV per atom. For the density of states at the Fermi level, the calculation gives 1.63 states/eV/f.u. The value obtained for the final energy is -3.135 eV/atom. As for the space group: No. 166.

No. 7
First-principles (PBE) data for Tc2Te3 after structural relaxation, as listed in the Alexandria database.

Cell: 8.419 6.272 9.880 Å, 57.79 39.07 83.14°
Element x y z (fractional)
1 Tc 0.262 0.738 0.427
2 Tc 0.677 0.823 0.512
3 Tc 0.738 0.262 0.573
4 Tc 0.823 0.677 0.988
5 Te 0.068 0.427 0.071
6 Te 0.179 0.816 0.182
7 Te 0.427 0.068 0.434
8 Te 0.549 0.549 0.451
9 Te 0.799 0.799 0.701
10 Te 0.816 0.179 0.823

Results
For the energy above the most stable polymorph in this dataset, the calculation gives 9.5 meV/atom. As for the formation energy from raw total energies: 0.107 eV per atom. For the density of states at the Fermi level, the calculation gives 0.75 states/eV/f.u. The value obtained for the final energy is -5.924 eV/atom. As for the space group: No. 43.

Question: Which of these has the lowest final energy?
Answer: Ta2TcIr